Computed, not measured: Tl2NiHgF6 after structural relaxation at the GGA+U level of DFT.

a b c (Å): 6.1623 8.7205 6.1713
angles (deg): 90.00 90.00 90.00
Closest atoms and distances in Å follow each position.
Space group Pmmn (No. 59, origin choice 2)
One atom of each set of equivalent atoms:
Tl1 0.2500 0.9995 0.2483 x4  12 F 3.06-3.12
Ni1 0.2500 0.2500 0.7509 x2  6 F 2.03
Hg1 0.2500 0.7500 0.7483 x2  6 F 2.32-2.33
F1 0.0163 0.2500 0.9838 x4  1 Ni 2.03
F2 0.0166 0.2500 0.5181 x4  1 Ni 2.03
F3 0.2500 0.0168 0.7527 x4  1 Ni 2.03

Summary:
Energy   -3.6836 eV/atom